1.
# PBE-GGA AcPaZn2, relaxed
data_AcPaZn2
_cell_length_a 3.674
_cell_length_b 3.674
_cell_length_c 7.535
_cell_angle_alpha 90.00
_cell_angle_beta 90.00
_cell_angle_gamma 90.00
_symmetry_space_group_name_H-M 'P 4/m m m'
_symmetry_Int_Tables_number 123
_symmetry_space_group_name_Hall '-P 4 2'
loop_
_atom_site_label
_atom_site_type_symbol
_atom_site_fract_x
_atom_site_fract_y
_atom_site_fract_z
_atom_site_occupancy
Ac1 Ac 0.000 0.000 0.000 1
Pa1 Pa 0.000 0.000 0.500 1
Zn1 Zn 0.500 0.500 0.281 1
# * E: -4.016 eV/atom
# * energy of formation: 22 meV per atom
# * energy above the lowest structure with this stoichiometry: 0.000 eV per atom



2.
# PBE-GGA AcPa2Zn, relaxed
data_AcPa2Zn
_cell_length_a 3.2725
_cell_length_b 3.2725
_cell_length_c 35.0141
_cell_angle_alpha 90.00
_cell_angle_beta 90.00
_cell_angle_gamma 120.00
_symmetry_space_group_name_H-M 'R -3 m'
_symmetry_Int_Tables_number 166
_symmetry_space_group_name_Hall '-R 3 2"'
loop_
_atom_site_label
_atom_site_type_symbol
_atom_site_fract_x
_atom_site_fract_y
_atom_site_fract_z
_atom_site_occupancy
Ac1 Ac 0.0000 0.0000 0.0000 1
Pa1 Pa 0.0000 0.0000 0.0964 1
Zn1 Zn 0.0000 0.0000 0.5000 1
# * E: -5.641 eV/atom
# * energy of formation: 452 meV per atom



3.
# PBE-GGA AcZr2Pa, relaxed
data_AcZr2Pa
_cell_length_a 3.3720
_cell_length_b 3.3720
_cell_length_c 35.1297
_cell_angle_alpha 90.00
_cell_angle_beta 90.00
_cell_angle_gamma 120.00
_symmetry_space_group_name_H-M 'R -3 m'
_symmetry_Int_Tables_number 166
_symmetry_space_group_name_Hall '-R 3 2"'
loop_
_atom_site_label
_atom_site_type_symbol
_atom_site_fract_x
_atom_site_fract_y
_atom_site_fract_z
_atom_site_occupancy
Ac1 Ac 0.0000 0.0000 0.0000 1
Zr1 Zr 0.0000 0.0000 0.0943 1
Pa1 Pa 0.0000 0.0000 0.5000 1
# * E: -7.261 eV/atom
# * energy of formation: 414 meV per atom



4.
# PBE-GGA Ac13Pb2, relaxed
data_Ac13Pb2
_cell_length_a 6.938
_cell_length_b 9.005
_cell_length_c 11.220
_cell_angle_alpha 70.61
_cell_angle_beta 75.71
_cell_angle_gamma 82.44
_symmetry_space_group_name_H-M 'P -1'
_symmetry_Int_Tables_number 2
_symmetry_space_group_name_Hall '-P 1'
loop_
_atom_site_label
_atom_site_type_symbol
_atom_site_fract_x
_atom_site_fract_y
_atom_site_fract_z
_atom_site_occupancy
Ac1 Ac 0.000 0.000 0.000 1
Ac2 Ac 0.045 0.410 0.717 1
Ac3 Ac 0.207 0.180 0.229 1
Ac4 Ac 0.259 0.596 0.941 1
Ac5 Ac 0.292 0.009 0.646 1
Ac6 Ac 0.451 0.394 0.401 1
Ac7 Ac 0.483 0.797 0.138 1
Pb1 Pb 0.149 0.781 0.460 1
# * E: -4.156 eV/atom
# * energy of formation: -101 meV per atom